Record 1
# RbPbCl3

A relaxed RbPbCl3 crystal (GGA-PBE, the Alexandria database).

Calculated values
Energy ... -3.48 eV/atom
V ... 35.9 Å³/atom
Formation energy without anion corrections ... -1.44 eV per atom

Lattice parameters (Å, degrees): 13.802 13.593 7.828 90.00 102.42 90.00
Space group C2/c (No. 15)
Symmetry-distinct sites (fractional):
1 Rb 0.182 0.073 0.150 [8 per cell]
2 Pb 0.000 0.287 0.750 [4 per cell]
3 Pb 0.000 0.311 0.250 [4 per cell]
4 Cl 0.062 0.139 0.486 [8 per cell]
5 Cl 0.108 0.410 0.570 [8 per cell]
6 Cl 0.158 0.315 0.065 [8 per cell]

Record 2
# RbPbCl3

A relaxed RbPbCl3 crystal (GGA-PBE, the Alexandria database).

Calculated values
Energy ... -3.46 eV/atom
V ... 54.3 Å³/atom
Formation energy without anion corrections ... -1.41 eV per atom

Lattice parameters (Å, degrees): 8.7880 8.7880 12.1684 90.00 90.00 120.00
Space group R3m (No. 160, hexagonal axes)
Symmetry-distinct sites (fractional):
1 Rb 0.0000 0.0000 0.0000 [3 per cell]
2 Pb 0.0000 0.0000 0.6647 [3 per cell]
3 Cl 0.0491 0.5245 0.4530 [9 per cell]

Record 3
# RbPbCl3

A relaxed RbPbCl3 crystal (GGA-PBE, the Alexandria database).

Calculated values
Energy ... -3.01 eV/atom
V ... 38.4 Å³/atom
Formation energy without anion corrections ... -0.97 eV per atom

Lattice parameters (Å, degrees): 5.777 5.777 23.033 90.00 90.00 90.00
Space group I-4m2 (No. 119)
Symmetry-distinct sites (fractional):
1 Rb 0.000 0.000 0.000 [2 per cell]
2 Rb 0.000 0.500 0.250 [2 per cell]
3 Pb 0.000 0.500 0.663 [4 per cell]
4 Cl 0.000 0.000 0.301 [4 per cell]
5 Cl 0.000 0.249 0.123 [8 per cell]

Record 4
# Rb6PbCl12

A relaxed Rb6PbCl12 crystal (GGA-PBE, the Alexandria database).

Calculated values
Energy ... -3.01 eV/atom
V ... 39.3 Å³/atom
Formation energy without anion corrections ... -1.34 eV per atom

Lattice parameters (Å, degrees): 13.8006 13.8006 13.5678 90.00 90.00 120.00
Space group R-3 (No. 148, hexagonal axes)
Symmetry-distinct sites (fractional):
1 Rb 0.0662 0.5911 0.3125 [18 per cell]
2 Pb 0.0000 0.0000 0.0000 [3 per cell]
3 Cl 0.0480 0.8747 0.8929 [18 per cell]
4 Cl 0.0718 0.8174 0.4001 [18 per cell]